# 1
Below is a relaxed Cd2Hg2O crystal, with properties calculated at the PBE level.

Offset from the most stable computed form: 0.00 eV per formula unit
Total magnetic moment: 0.000 Bohr magnetons per cell
DOS at the Fermi energy: 2.46 states/eV per cell
Space group: P4/mbm (127)

Cell: 6.2722 6.2722 5.7738 Å, 90.00 90.00 90.00°
Last column: nearest neighbours and their distance in Å.
Sites, in units of the cell vectors:
Hg 0.6581 0.1581 0.0000  2 O 2.36
Hg 0.8419 0.6581 0.0000  2 O 2.36
O 0.0000 0.0000 0.0000  4 Hg 2.36
O 0.5000 0.5000 0.0000  4 Hg 2.36
Cd 0.8179 0.3179 0.5000  6 Hg 3.22-3.59, 5 Cd 3.23-3.25
Cd 0.6821 0.8179 0.5000  6 Hg 3.22-3.59, 5 Cd 3.23-3.25
Cd 0.3179 0.1821 0.5000  6 Hg 3.22-3.59, 5 Cd 3.23-3.25
Cd 0.1821 0.6821 0.5000  6 Hg 3.22-3.59, 5 Cd 3.23-3.25
Hg 0.1581 0.3419 0.0000  2 O 2.36
Hg 0.3419 0.8419 0.0000  2 O 2.36

---

# 2
Below is a relaxed CdHgO crystal, with properties calculated at the PBE level.

Offset from the most stable computed form: 0.23 eV per formula unit
Total magnetic moment: 0.000 Bohr magnetons per cell
Space group: P2_1/m (11)

Cell: 4.1535 4.4921 8.0512 Å, 89.99 89.07 90.00°
Last column: nearest neighbours and their distance in Å.
Sites, in units of the cell vectors:
Hg 0.8115 0.8666 0.4888  1 Cd 3.04, 4 Hg 3.25-3.26
O 0.8155 0.3664 0.8575  4 Cd 2.25-2.28
Hg 0.3165 0.3668 0.3504  1 Cd 3.04, 4 Hg 3.25-3.26
O 0.3113 0.8663 0.9817  4 Cd 2.25-2.28
Cd 0.8150 0.8664 0.8661  4 O 2.25-2.28
Cd 0.3118 0.3664 0.9731  4 O 2.25-2.28

---

Q: Which energy relative to the elements, uncorrected values were calculated for the entries above? A: 0.5, -1.5, in eV/f.u..